# 1
Density functional theory data (PBE-GGA) for crystalline SrMg2Pt at its relaxed geometry.

```
SrMg2Pt
1.0
-3.889 -4.875 -1.429
4.875 1.812 -3.725
2.032 -2.711 -0.140
Pt Mg Sr
1 2 1
Direct
0.500 0.000 0.500
0.500 0.500 0.000
0.000 0.000 0.000
0.000 0.500 0.500
```

Summary:
Fermi-level density of states = 2.15 states/eV per cell
space group = C2/m (12)
E_tot = -2.8379 eV/atom
formation energy from the elements = -10.61 kJ per mole of atoms

# 2
Density functional theory data (PBE-GGA) for crystalline SrMg2Pt at its relaxed geometry.

```
SrMg2Pt
1.0
0.000 3.534 3.534
3.534 0.000 3.534
3.534 3.534 0.000
Sr Pt Mg
1 1 2
Direct
0.000 0.000 0.000
0.500 0.500 0.500
0.750 0.750 0.750
0.250 0.250 0.250
```

Summary:
Fermi-level density of states = 4.83 states/eV per cell
space group = Fm-3m (225)
E_tot = -3.0135 eV/atom
formation energy from the elements = -27.56 kJ per mole of atoms

# 3
Density functional theory data (PBE-GGA) for crystalline Sr2MgPt at its relaxed geometry.

```
Sr2MgPt
1.0
-0.122 2.518 2.741
0.666 -2.683 2.495
8.759 1.367 -0.866
Sr Pt Mg
2 1 1
Direct
0.000 0.000 0.918
0.500 0.500 0.316
0.500 0.500 0.689
0.000 0.000 0.577
```

Summary:
Fermi-level density of states = 3.28 states/eV per cell
space group = P4mm (99)
E_tot = -3.1348 eV/atom
formation energy from the elements = -37.15 kJ per mole of atoms